Computed, not measured: a geometry-optimized Dy4BeI5 structure at the GGA-PBE level of DFT.

Output
**Total magnetic moment**: 0.00 μB per cell
**Formation energy (no corrections)**: -0.95 eV/atom
**Calculated volume**: 335.1 Å³/cell
**Space-group type**: C2/m, No. 12

a b c (Å): 4.0585 8.8404 9.7829
angles (deg): 102.35 101.97 90.00
Closest atoms and distances in Å follow each position.
Fractional coordinates of all 10 atoms:
I 0.5000 0.5000 0.0000  4 Dy 3.28
I 0.1664 0.3425 0.3328  3 Dy 3.09-3.16
I 0.8336 0.6575 0.6672  3 Dy 3.09-3.16
I 0.8257 0.1723 0.6514  4 Dy 3.13-3.44
I 0.1743 0.8277 0.3486  4 Dy 3.13-3.44
Dy 0.0006 0.7916 0.0011  2 Be 2.74
Dy 0.9994 0.2084 0.9989  2 Be 2.74
Dy 0.3586 0.9274 0.7172  1 Be 2.64
Dy 0.6414 0.0726 0.2828  1 Be 2.64
Be 0.5000 0.0000 0.0000  6 Dy 2.64-2.74


Computed, not measured: a geometry-optimized Dy2BeIn structure at the GGA-PBE level of DFT.

Output
**Total magnetic moment**: 0.00 μB per cell
**Calculated volume**: 94.6 Å³/cell
**Space-group type**: Fm-3m, No. 225
**E_form**: -119 meV/atom

a b c (Å): 5.1144 5.1144 5.1144
angles (deg): 60.00 60.00 60.00
Closest atoms and distances in Å follow each position.
Fractional coordinates of all 4 atoms:
Dy 0.7500 0.7500 0.7500  4 In 3.13, 4 Be 3.13
Dy 0.2500 0.2500 0.2500  4 In 3.13, 4 Be 3.13
Be 0.5000 0.5000 0.5000  8 Dy 3.13
In 0.0000 0.0000 0.0000  8 Dy 3.13


Computed, not measured: a geometry-optimized DyBeIn structure at the GGA-PBE level of DFT.

Output
**Total magnetic moment**: 0.00 μB per cell
**Calculated volume**: 133.6 Å³/cell
**Space-group type**: Pm, No. 6
**E_form**: -39 meV/atom

a b c (Å): 4.1586 4.5827 11.5492
angles (deg): 142.62 90.00 90.00
Closest atoms and distances in Å follow each position.
Fractional coordinates of all 6 atoms:
Dy 0.0000 0.2072 0.7210  2 Be 2.72
Dy 0.5000 0.2893 0.2621  4 Be 2.76-2.77
In 0.5000 0.0791 0.9074  4 Be 2.60
In 0.0000 0.0806 0.4076  2 Be 2.61-2.62
Be 0.0000 0.1655 0.0684  1 Be 2.16
Be 0.0000 0.6357 0.0677  1 Be 2.16


Computed, not measured: a geometry-optimized DyBeIn structure at the GGA-PBE level of DFT.

Output
**Total magnetic moment**: 0.00 μB per cell
**Calculated volume**: 64.7 Å³/cell
**Space-group type**: F-43m, No. 216
**E_form**: -205 meV/atom

a b c (Å): 4.5065 4.5065 4.5065
angles (deg): 60.00 60.00 60.00
Closest atoms and distances in Å follow each position.
Fractional coordinates of all 3 atoms:
Dy 0.5000 0.5000 0.5000  4 Be 2.76
Be 0.2500 0.2500 0.2500  4 In 2.76, 4 Dy 2.76
In 0.0000 0.0000 0.0000  4 Be 2.76


Computed, not measured: a geometry-optimized Dy2BeIn structure at the GGA-PBE level of DFT.

Output
**Total magnetic moment**: 0.00 μB per cell
**Calculated volume**: 92.1 Å³/cell
**Space-group type**: P4/mmm, No. 123
**E_form**: -195 meV/atom

a b c (Å): 3.5173 3.5173 7.4473
angles (deg): 90.00 90.00 90.00
Closest atoms and distances in Å follow each position.
Fractional coordinates of all 4 atoms:
Dy 0.0000 0.0000 0.2184  4 Be 2.97, 1 Dy 3.25, 4 In 3.25
Dy 0.0000 0.0000 0.7816  4 Be 2.97, 1 Dy 3.25, 4 In 3.25
In 0.5000 0.5000 0.5000  8 Dy 3.25, 4 In 3.52
Be 0.5000 0.5000 0.0000  8 Dy 2.97


Computed, not measured: a geometry-optimized DyLuBeIn structure at the GGA-PBE level of DFT.

Output
**Total magnetic moment**: 0.00 μB per cell
**Calculated volume**: 91.5 Å³/cell
**Space-group type**: F-43m, No. 216
**E_form**: -111 meV/atom

a b c (Å): 5.0575 5.0575 5.0575
angles (deg): 60.00 60.00 60.00
Closest atoms and distances in Å follow each position.
Fractional coordinates of all 4 atoms:
Be 0.0000 0.0000 0.0000  4 Dy 3.10, 4 Lu 3.10
In 0.5000 0.5000 0.5000  4 Lu 3.10, 4 Dy 3.10
Dy 0.2500 0.2500 0.2500  4 In 3.10, 4 Be 3.10
Lu 0.7500 0.7500 0.7500  4 In 3.10, 4 Be 3.10


Computed, not measured: a geometry-optimized PmDyBeIn structure at the GGA-PBE level of DFT.

Output
**Total magnetic moment**: 0.00 μB per cell
**Calculated volume**: 98.7 Å³/cell
**Space-group type**: F-43m, No. 216
**E_form**: -99 meV/atom

a b c (Å): 5.1880 5.1880 5.1880
angles (deg): 60.00 60.00 60.00
Closest atoms and distances in Å follow each position.
Fractional coordinates of all 4 atoms:
Dy 0.2500 0.2500 0.2500  4 In 3.18, 4 Be 3.18
In 0.5000 0.5000 0.5000  4 Dy 3.18, 4 Pm 3.18
Pm 0.7500 0.7500 0.7500  4 In 3.18, 4 Be 3.18
Be 0.0000 0.0000 0.0000  4 Dy 3.18, 4 Pm 3.18


Computed, not measured: a geometry-optimized TbDyBeIn structure at the GGA-PBE level of DFT.

Output
**Total magnetic moment**: 0.00 μB per cell
**Calculated volume**: 95.3 Å³/cell
**Space-group type**: F-43m, No. 216
**E_form**: -117 meV/atom

a b c (Å): 5.1271 5.1271 5.1271
angles (deg): 60.00 60.00 60.00
Closest atoms and distances in Å follow each position.
Fractional coordinates of all 4 atoms:
Be 0.7500 0.7500 0.7500  4 Tb 3.14, 4 Dy 3.14
Dy 0.0000 0.0000 0.0000  4 In 3.14, 4 Be 3.14
In 0.2500 0.2500 0.2500  4 Tb 3.14, 4 Dy 3.14
Tb 0.5000 0.5000 0.5000  4 Be 3.14, 4 In 3.14


Computed, not measured: a geometry-optimized DyTmBeIn structure at the GGA-PBE level of DFT.

Output
**Total magnetic moment**: 0.00 μB per cell
**Calculated volume**: 92.6 Å³/cell
**Space-group type**: F-43m, No. 216
**E_form**: -116 meV/atom

a b c (Å): 5.0773 5.0773 5.0773
angles (deg): 60.00 60.00 60.00
Closest atoms and distances in Å follow each position.
Fractional coordinates of all 4 atoms:
Be 0.0000 0.0000 0.0000  4 Dy 3.11, 4 Tm 3.11
Dy 0.2500 0.2500 0.2500  4 In 3.11, 4 Be 3.11
In 0.5000 0.5000 0.5000  4 Dy 3.11, 4 Tm 3.11
Tm 0.7500 0.7500 0.7500  4 Be 3.11, 4 In 3.11


Computed, not measured: a geometry-optimized Dy2BeIr3 structure at the GGA-PBE level of DFT.

Output
**Total magnetic moment**: 0.00 μB per cell
**Calculated volume**: 204.6 Å³/cell
**Space-group type**: P6_3/mmc, No. 194
**E_form**: -748 meV/atom

a b c (Å): 5.5056 5.5056 7.7939
angles (deg): 90.00 90.00 120.00
Closest atoms and distances in Å follow each position.
Fractional coordinates of all 12 atoms:
Dy 0.3333 0.6667 0.9403  9 Ir 2.91-3.13, 1 Dy 2.97, 3 Be 3.21
Dy 0.6667 0.3333 0.4403  9 Ir 2.91-3.13, 1 Dy 2.97, 3 Be 3.21
Dy 0.6667 0.3333 0.0597  9 Ir 2.91-3.13, 1 Dy 2.97, 3 Be 3.21
Dy 0.3333 0.6667 0.5597  9 Ir 2.91-3.13, 1 Dy 2.97, 3 Be 3.21
Ir 0.1636 0.8364 0.2500  2 Be 2.50, 2 Ir 2.70
Ir 0.3272 0.1636 0.7500  2 Be 2.50, 2 Ir 2.70
Ir 0.1636 0.3272 0.2500  2 Be 2.50, 2 Ir 2.70
Ir 0.8364 0.1636 0.7500  2 Be 2.50, 2 Ir 2.70
Ir 0.6728 0.8364 0.2500  2 Be 2.50, 2 Ir 2.70
Ir 0.8364 0.6728 0.7500  2 Be 2.50, 2 Ir 2.70
Be 0.0000 0.0000 0.5000  6 Ir 2.50
Be 0.0000 0.0000 0.0000  6 Ir 2.50


Computed, not measured: a geometry-optimized Dy3BeIr3 structure at the GGA-PBE level of DFT.

Output
**Total magnetic moment**: 0.00 μB per cell
**Calculated volume**: 276.0 Å³/cell
**Space-group type**: C2/m, No. 12
**E_form**: -737 meV/atom

a b c (Å): 4.0539 5.5890 13.2287
angles (deg): 85.87 81.19 68.74
Closest atoms and distances in Å follow each position.
Fractional coordinates of all 14 atoms:
Dy 0.5267 0.3319 0.6147  5 Ir 2.88-3.04, 4 Be 2.93-3.14
Dy 0.2522 0.2633 0.2323  6 Ir 2.89-3.01, 2 Be 3.13
Dy 0.3913 0.2948 0.9226  7 Ir 2.86-3.10
Dy 0.6087 0.7052 0.0774  7 Ir 2.86-3.10
Dy 0.7478 0.7367 0.7677  6 Ir 2.89-3.01, 2 Be 3.13
Dy 0.4733 0.6681 0.3853  5 Ir 2.88-3.04, 4 Be 2.93-3.14
Ir 0.9600 0.8368 0.2433  1 Be 2.40, 1 Ir 2.67
Ir 0.1615 0.2177 0.4593  3 Be 2.31-2.36
Ir 0.1187 0.8439 0.9187  2 Ir 2.67-2.70, 5 Dy 2.86-2.98
Ir 0.0400 0.1632 0.7567  1 Be 2.40, 1 Ir 2.67
Ir 0.8813 0.1561 0.0813  2 Ir 2.67-2.70, 5 Dy 2.86-2.98
Ir 0.8385 0.7823 0.5407  3 Be 2.31-2.36
Be 0.7643 0.0719 0.3994  4 Ir 2.31-2.40
Be 0.2357 0.9281 0.6006  4 Ir 2.31-2.40


Computed, not measured: a geometry-optimized Dy3Be2Ir5 structure at the GGA-PBE level of DFT.

Output
**Total magnetic moment**: 0.00 μB per cell
**Calculated volume**: 328.1 Å³/cell
**Space-group type**: P4/mbm, No. 127
**E_form**: -778 meV/atom

a b c (Å): 3.3887 9.8401 9.8401
angles (deg): 90.00 90.00 90.00
Closest atoms and distances in Å follow each position.
Fractional coordinates of all 20 atoms:
Dy 0.0000 0.1762 0.3238  3 Be 2.84-2.96, 10 Ir 2.98-3.12
Dy 0.0000 0.8238 0.6762  3 Be 2.84-2.96, 10 Ir 2.98-3.12
Dy 0.0000 0.6762 0.1762  3 Be 2.84-2.96, 10 Ir 2.98-3.12
Dy 0.0000 0.3238 0.8238  3 Be 2.84-2.96, 10 Ir 2.98-3.12
Dy 0.0000 0.0000 0.0000  8 Ir 2.87
Dy 0.0000 0.5000 0.5000  8 Ir 2.87
Ir 0.5000 0.7760 0.9298  2 Be 2.34
Ir 0.5000 0.4298 0.2760  2 Be 2.34
Ir 0.5000 0.2240 0.0702  2 Be 2.34
Ir 0.5000 0.2760 0.5702  2 Be 2.34
Ir 0.5000 0.9298 0.2240  2 Be 2.34
Ir 0.5000 0.7240 0.4298  2 Be 2.34
Ir 0.5000 0.5702 0.7240  2 Be 2.34
Ir 0.5000 0.5000 0.0000  4 Be 2.38
Ir 0.5000 0.0702 0.7760  2 Be 2.34
Ir 0.5000 0.0000 0.5000  4 Be 2.38
Be 0.0000 0.8803 0.3803  6 Ir 2.34-2.38
Be 0.0000 0.6197 0.8803  6 Ir 2.34-2.38
Be 0.0000 0.3803 0.1197  6 Ir 2.34-2.38
Be 0.0000 0.1197 0.6197  6 Ir 2.34-2.38


Computed, not measured: a geometry-optimized DyBe17Ir structure at the GGA-PBE level of DFT.

Output
**Total magnetic moment**: 0.00 μB per cell
**Calculated volume**: 176.3 Å³/cell
**Space-group type**: R3m, No. 160
**E_form**: -120 meV/atom

a b c (Å): 5.6427 5.6427 5.6427
angles (deg): 83.39 83.39 83.39
Closest atoms and distances in Å follow each position.
Fractional coordinates of all 19 atoms:
Be 0.7031 0.2889 0.0096  8 Be 2.10-2.30
Be 0.2889 0.0096 0.7031  8 Be 2.10-2.30
Be 0.8722 0.3410 0.3410  9 Be 2.16-2.26
Be 0.0096 0.2889 0.7031  8 Be 2.10-2.30
Be 0.3410 0.8722 0.3410  9 Be 2.16-2.26
Be 0.0096 0.7031 0.2889  8 Be 2.10-2.30
Be 0.7031 0.0096 0.2889  8 Be 2.10-2.30
Be 0.1654 0.6470 0.6470  9 Be 2.18-2.44
Be 0.3410 0.3410 0.8722  9 Be 2.16-2.26
Be 0.9918 0.5092 0.9918  10 Be 2.12-2.34
Be 0.5092 0.9918 0.9918  10 Be 2.12-2.34
Be 0.9918 0.9918 0.5092  10 Be 2.12-2.34
Be 0.9069 0.9069 0.9069  4 Be 2.11-2.25
Be 0.6470 0.6470 0.1654  9 Be 2.18-2.44
Be 0.6470 0.1654 0.6470  9 Be 2.18-2.44
Be 0.2889 0.7031 0.0096  8 Be 2.10-2.30
Be 0.1011 0.1011 0.1011  7 Be 2.11-2.34
Dy 0.6559 0.6559 0.6559  19 Be 2.72-2.86
Ir 0.3262 0.3262 0.3262  13 Be 2.44-2.72


Computed, not measured: a geometry-optimized DyBe3Ir3 structure at the GGA-PBE level of DFT.

Output
**Total magnetic moment**: 0.00 μB per cell
**Calculated volume**: 221.3 Å³/cell
**Space-group type**: Pm-3n, No. 223
**E_form**: -104 meV/atom

a b c (Å): 6.0488 6.0488 6.0488
angles (deg): 90.00 90.00 90.00
Closest atoms and distances in Å follow each position.
Fractional coordinates of all 14 atoms:
Be 0.7500 0.5000 0.0000  4 Ir 2.14
Be 0.0000 0.2500 0.5000  4 Ir 2.14
Be 0.0000 0.7500 0.5000  4 Ir 2.14
Be 0.2500 0.5000 0.0000  4 Ir 2.14
Be 0.5000 0.0000 0.7500  4 Ir 2.14
Be 0.5000 0.0000 0.2500  4 Ir 2.14
Dy 0.5000 0.5000 0.5000  12 Be 3.38, 12 Ir 3.38
Dy 0.0000 0.0000 0.0000  12 Be 3.38, 12 Ir 3.38
Ir 0.5000 0.7500 0.0000  4 Be 2.14
Ir 0.0000 0.5000 0.2500  4 Be 2.14
Ir 0.5000 0.2500 0.0000  4 Be 2.14
Ir 0.7500 0.0000 0.5000  4 Be 2.14
Ir 0.0000 0.5000 0.7500  4 Be 2.14
Ir 0.2500 0.0000 0.5000  4 Be 2.14